Record 1
A plane-wave DFT calculation with GGA-PBE was carried out for a relaxed structure of LuNbCoRe.

Properties
- VASP energy (eV/atom) = -8.614
- mass density (g/cm³) = 12.7
- M_tot (Bohr magnetons per cell) = 0.1

Cell and atoms, written as POSCAR:
```
LuNbCoRe
1.0
4.556 0.000 0.000
2.278 3.946 0.000
2.278 1.315 3.720
Re Lu Co Nb
1 1 1 1
Direct
0.750 0.750 0.750
0.500 0.500 0.500
0.250 0.250 0.250
0.000 0.000 0.000
```

=====

Record 2
A plane-wave DFT calculation with GGA-PBE was carried out for a relaxed structure of PmNd2In2Hg2.

Properties
- VASP energy (eV/atom) = -3.218
- mass density (g/cm³) = 8.9
- M_tot (Bohr magnetons per cell) = 0.0

Cell and atoms, written as POSCAR:
```
PmNd2In2Hg2
1.0
-4.054 -0.445 2.858
-0.785 -4.191 2.573
3.040 1.972 8.958
Pm Nd Hg In
1 2 2 2
Direct
0.000 0.000 0.000
0.130 0.130 0.610
0.870 0.870 0.390
0.415 0.415 0.754
0.585 0.585 0.246
0.269 0.269 0.194
0.731 0.731 0.806
```

=====

Record 3
A plane-wave DFT calculation with GGA-PBE was carried out for a relaxed structure of Al2PtBr.

Properties
- mass density (g/cm³) = 6.3
- relative energy among the computed polymorphs (kJ/mol of atoms) = 20.8
- M_tot (Bohr magnetons per cell) = 0.0

Cell and atoms, written as POSCAR:
```
Al2PtBr
1.0
3.406 0.000 0.000
0.000 3.404 0.000
0.000 0.000 7.535
Br Pt Al
1 1 2
Direct
0.000 0.000 0.472
0.500 0.500 0.936
0.000 0.000 0.837
0.500 0.500 0.254
```

=====

Record 4
A plane-wave DFT calculation with GGA-PBE was carried out for a relaxed structure of Y2SbOs.

Properties
- VASP energy (eV/atom) = -7.434
- mass density (g/cm³) = 8.8
- M_tot (Bohr magnetons per cell) = 0.0

Cell and atoms, written as POSCAR:
```
Y2SbOs
1.0
-3.015 2.085 -3.217
-3.817 -1.264 2.761
0.275 3.347 1.912
Y Sb Os
2 1 1
Direct
0.500 0.500 0.000
0.000 0.000 0.000
0.000 0.500 0.500
0.500 0.000 0.500
```

=====

So what do the calculations give for volume? Going down the list: 67; 198; 87; 92 Å³/cell.